Record 1
{
  "formula": "Pm5Sm2Tm2",
  "functional": "GGA-PBE",
  "state": "relaxed",
  "lattice_angstrom": [[-7.5880, 6.4615, 3.0977], [7.5880, -6.4615, 3.0977], [7.5880, 6.4615, -3.0977]],
  "species": ["Pm", "Pm", "Pm", "Pm", "Pm", "Pm", "Pm", "Pm", "Pm", "Pm", "Sm", "Sm", "Sm", "Sm", "Tm", "Tm", "Tm", "Tm"],
  "fractional_positions": [[0.0599, 0.9873, 0.5726], [0.1979, 0.0472, 0.2451], [0.1979, 0.4528, 0.6507], [0.4147, 0.4873, 0.4274], [0.4674, 0.0100, 0.1698], [0.4674, 0.7976, 0.9574], [0.8021, 0.5472, 0.3493], [0.8021, 0.9528, 0.7549], [0.8403, 0.2976, 0.8302], [0.8403, 0.5100, 0.0426], [0.5796, 0.0796, 0.5000], [0.5796, 0.5796, 0.0000], [0.6550, 0.4614, 0.6936], [0.7678, 0.9614, 0.3064], [0.0977, 0.2840, 0.0868], [0.0977, 0.5110, 0.3138], [0.1972, 0.0110, 0.9132], [0.1972, 0.7840, 0.6862]],
  "dft_energy_ev_per_atom": -4.515,
  "e_above_lowest_polymorph_mev_per_atom": 150,
  "delta_e_f_ev_per_atom": 0.167,
  "magnetic_moment_mub_per_atom": 0.000
}



Record 2
{
  "formula": "HoHfIrPd",
  "functional": "GGA-PBE",
  "state": "relaxed",
  "lattice_angstrom": [[6.7447, 0.0000, 0.0000], [0.0000, 6.7447, 0.0000], [0.0000, 0.0000, 6.7447]],
  "species": ["Ho", "Ho", "Ho", "Ho", "Hf", "Hf", "Hf", "Hf", "Ir", "Ir", "Ir", "Ir", "Pd", "Pd", "Pd", "Pd"],
  "fractional_positions": [[0.0000, 0.0000, 0.0000], [0.0000, 0.5000, 0.5000], [0.5000, 0.0000, 0.5000], [0.5000, 0.5000, 0.0000], [0.0000, 0.0000, 0.5000], [0.0000, 0.5000, 0.0000], [0.5000, 0.0000, 0.0000], [0.5000, 0.5000, 0.5000], [0.2500, 0.2500, 0.2500], [0.2500, 0.7500, 0.7500], [0.7500, 0.2500, 0.7500], [0.7500, 0.7500, 0.2500], [0.2500, 0.2500, 0.7500], [0.2500, 0.7500, 0.2500], [0.7500, 0.2500, 0.2500], [0.7500, 0.7500, 0.7500]],
  "dft_energy_ev_per_atom": -7.959,
  "delta_e_f_ev_per_atom": -0.813,
  "magnetic_moment_mub_per_atom": 0.000
}